[1]
The following is a DFT calculation (GGA-PBE) of an optimized crystal structure of Rb2Tl2SnCl6.

Structure (POSCAR):
```
Rb2Tl2SnCl6
1.0
4.128 -6.702 0.000
4.128 6.702 0.000
-2.634 0.000 7.285
Rb Tl Sn Cl
2 2 1 6
direct
0.157 0.843 0.000
0.843 0.157 0.000
0.323 0.677 0.500
0.677 0.323 0.500
0.500 0.500 0.000
0.127 0.436 0.775
0.299 0.299 0.239
0.436 0.127 0.775
0.564 0.873 0.225
0.701 0.701 0.761
0.873 0.564 0.225
```

Results
SG: C2/m
Crystal system: monoclinic
Energy relative to the elements, uncorrected: -1.35 eV per atom

[2]
The following is a DFT calculation (GGA-PBE) of an optimized crystal structure of Rb2TlSnCl8.

Structure (POSCAR):
```
Rb2TlSnCl8
1.0
6.893 0.000 0.000
0.476 6.979 0.000
0.050 0.032 9.025
Rb Tl Sn Cl
2 1 1 8
direct
0.005 0.499 0.238
0.995 0.501 0.762
0.500 0.000 0.500
0.500 0.000 0.000
0.276 0.325 0.502
0.281 0.892 0.201
0.285 0.885 0.802
0.319 0.315 0.995
0.681 0.685 0.005
0.715 0.115 0.198
0.719 0.108 0.799
0.724 0.675 0.498
```

Results
SG: P-1
Crystal system: triclinic
Energy relative to the elements, uncorrected: -1.20 eV per atom

[3]
The following is a DFT calculation (GGA-PBE) of an optimized crystal structure of RbTl2Sn2Cl7.

Structure (POSCAR):
```
RbTl2Sn2Cl7
1.0
-2.781 12.316 3.172
2.781 -12.316 3.172
2.781 12.316 -3.172
Rb Tl Sn Cl
1 2 2 7
direct
0.000 0.000 0.000
0.189 0.477 0.712
0.765 0.477 0.288
0.446 0.053 0.392
0.661 0.053 0.608
0.074 0.660 0.414
0.226 0.954 0.272
0.246 0.660 0.586
0.481 0.584 0.897
0.663 0.163 0.500
0.682 0.954 0.728
0.687 0.584 0.103
```

Results
SG: Imm2
Crystal system: orthorhombic
Energy relative to the elements, uncorrected: -1.17 eV per atom

[4]
The following is a DFT calculation (GGA-PBE) of an optimized crystal structure of Rb2TlSn2Cl7.

Structure (POSCAR):
```
Rb2TlSn2Cl7
1.0
3.985 -3.936 0.000
3.985 3.936 0.000
-3.866 0.000 13.773
Rb Tl Sn Cl
2 1 2 7
direct
0.221 0.221 0.360
0.779 0.779 0.640
0.000 0.000 0.000
0.381 0.381 0.795
0.619 0.619 0.205
0.123 0.639 0.197
0.319 0.319 0.595
0.361 0.877 0.803
0.500 0.500 0.000
0.639 0.123 0.197
0.681 0.681 0.405
0.877 0.361 0.803
```

Results
SG: C2/m
Crystal system: monoclinic
Energy relative to the elements, uncorrected: -1.31 eV per atom

[5]
The following is a DFT calculation (GGA-PBE) of an optimized crystal structure of Rb4Tl3SnCl8.

Structure (POSCAR):
```
Rb4Tl3SnCl8
1.0
8.183 -4.574 0.000
8.183 4.574 0.000
-4.851 0.000 7.769
Rb Tl Sn Cl
4 3 1 8
direct
0.000 0.000 0.000
0.000 0.500 0.500
0.500 0.000 0.500
0.500 0.500 0.000
0.000 0.000 0.500
0.000 0.500 0.000
0.500 0.000 0.000
0.500 0.500 0.500
0.223 0.223 0.219
0.249 0.249 0.752
0.264 0.729 0.267
0.271 0.736 0.733
0.729 0.264 0.267
0.736 0.271 0.733
0.751 0.751 0.248
0.777 0.777 0.781
```

Results
SG: C2/m
Crystal system: monoclinic
Energy relative to the elements, uncorrected: -1.35 eV per atom

[6]
The following is a DFT calculation (GGA-PBE) of an optimized crystal structure of RbVSnCl6.

Structure (POSCAR):
```
RbVSnCl6
1.0
6.930 0.000 0.000
-3.465 6.002 0.000
0.000 0.000 7.071
Rb V Sn Cl
1 1 1 6
direct
0.000 0.000 0.000
0.333 0.667 0.500
0.667 0.333 0.500
0.044 0.390 0.302
0.044 0.653 0.698
0.347 0.390 0.698
0.347 0.956 0.302
0.610 0.653 0.302
0.610 0.956 0.698
```

Results
SG: P312
Crystal system: trigonal
Energy relative to the elements, uncorrected: -1.34 eV per atom